# RbI2O4

A relaxed RbI2O4 crystal (PBE, Alexandria).

DOS(E_F), states/eV/atom: 0.3833
Energy relative to the elements, uncorrected, eV per atom: -0.498
SG: C2/m, No. 12

a = 4.520 Å, b = 8.105 Å, c = 4.520 Å
α = 91.84°, β = 90.14°, γ = 88.16°
Fractional positions:
O  0.915  0.246  0.533
O  0.533  0.754  0.915
O  0.085  0.754  0.467
O  0.467  0.246  0.085
I  0.506  0.279  0.494
I  0.494  0.721  0.506
Rb  0.000  0.000  0.000